Entry 1:
ZnSiSn2Au | meta-GGA SCAN | single point on PBEsol structure

Computed properties:
**Energy relative to the elements, uncorrected**: 0.695 eV per atom
**Space-group type**: P4/mmm, No. 123
**V**: 136.4 Å³/cell
**Mass density**: 6.43 Mg/m³

a b c (Å): 4.572 5.463 5.463
angles (deg): 90.00 90.00 90.00
Fractional positions:
Si (0.500, 0.000, 0.000)
Zn (0.500, 0.500, 0.500)
Au (0.000, 0.000, 0.000)
Sn (0.000, 0.000, 0.500)
Sn (0.000, 0.500, 0.000)

Entry 2:
InTe5Pb4 | meta-GGA SCAN | single point on PBEsol structure

Computed properties:
**Energy relative to the elements, uncorrected**: -0.342 eV per atom
**Space-group type**: R-3m, No. 166
**Polymorph energy (0 for the lowest one)**: 8 meV/atom
**V**: 323.3 Å³/cell
**Mass density**: 8.12 Mg/m³

a b c (Å): 4.476 4.476 18.811
angles (deg): 83.17 83.17 60.00
Fractional positions:
In (0.000, 0.000, 0.000)
Te (0.302, 0.302, 0.094)
Te (0.500, 0.500, 0.500)
Te (0.901, 0.901, 0.297)
Te (0.698, 0.698, 0.906)
Te (0.099, 0.099, 0.703)
Pb (0.398, 0.398, 0.805)
Pb (0.799, 0.799, 0.602)
Pb (0.201, 0.201, 0.398)
Pb (0.602, 0.602, 0.195)

Entry 3:
TcHgN2O | meta-GGA SCAN | single point on PBEsol structure

Computed properties:
**Energy relative to the elements, uncorrected**: 2.079 eV per atom
**Space-group type**: P4/mmm, No. 123
**V**: 68.9 Å³/cell
**Mass density**: 8.26 Mg/m³

a b c (Å): 4.034 4.131 4.131
angles (deg): 90.00 90.00 90.00
Site moments in Bohr magnetons follow the coordinates.
Fractional positions:
N (0.000, 0.000, 0.500)  -0.55
N (0.000, 0.500, 0.000)  -0.55
Hg (0.000, 0.000, 0.000)  -0.04
O (0.500, 0.000, 0.000)  0.07
Tc (0.500, 0.500, 0.500)  4.13

Entry 4:
BaBe2Mo | meta-GGA SCAN | single point on PBEsol structure

Computed properties:
**Space-group type**: F-43m, No. 216
**Polymorph energy (0 for the lowest one)**: 1007 meV/atom
**V**: 68.3 Å³/cell
**Calculated formation energy**: 1.5342 eV per atom
**Mass density**: 6.11 Mg/m³

a b c (Å): 4.588 4.588 4.588
angles (deg): 60.00 60.00 60.00
Site moments in Bohr magnetons follow the coordinates.
Fractional positions:
Be (0.000, 0.000, 0.000)  -0.01
Be (0.750, 0.750, 0.750)  -0.05
Mo (0.250, 0.250, 0.250)  0.92
Ba (0.500, 0.500, 0.500)  -0.01

Entry 5:
CaCuGe2O6 | meta-GGA SCAN | single point on PBEsol structure

Computed properties:
**Energy relative to the elements, uncorrected**: -1.942 eV per atom
**Space-group type**: C2/c, No. 15
**Polymorph energy (0 for the lowest one)**: 11 meV/atom
**V**: 235.9 Å³/cell
**Mass density**: 4.86 Mg/m³

a b c (Å): 5.376 6.796 6.796
angles (deg): 82.43 77.61 77.61
Site moments in Bohr magnetons follow the coordinates.
Fractional positions:
Ca (0.750, 0.697, 0.303)  0.00
Ca (0.250, 0.303, 0.697)  0.00
Cu (0.750, 0.095, 0.905)  0.75
Cu (0.250, 0.905, 0.095)  0.75
Ge (0.785, 0.183, 0.381)  0.00
Ge (0.715, 0.619, 0.817)  0.00
Ge (0.215, 0.817, 0.619)  0.00
Ge (0.285, 0.381, 0.183)  0.00
O (0.522, 0.390, 0.330)  0.00
O (0.978, 0.670, 0.610)  0.00
O (0.478, 0.610, 0.670)  0.00
O (0.022, 0.330, 0.390)  0.00
O (0.160, 0.624, 0.092)  0.03
O (0.340, 0.908, 0.376)  0.03
O (0.840, 0.376, 0.908)  0.03
O (0.660, 0.092, 0.624)  0.03
O (0.879, 0.012, 0.196)  0.08
O (0.621, 0.804, 0.988)  0.08
O (0.121, 0.988, 0.804)  0.08
O (0.379, 0.196, 0.012)  0.08

Entry 6:
LiHgSe2 | meta-GGA SCAN | single point on PBEsol structure

Computed properties:
**Energy relative to the elements, uncorrected**: -0.450 eV per atom
**Space-group type**: Pmm2, No. 25
**V**: 88.7 Å³/cell
**Mass density**: 6.84 Mg/m³

a b c (Å): 3.083 4.155 6.921
angles (deg): 90.00 90.00 90.00
Fractional positions:
Hg (0.000, 0.000, 0.463)
Li (0.500, 0.500, 0.912)
Se (0.000, 0.000, 0.837)
Se (0.500, 0.500, 0.288)

Entry 7:
Nd2Ti4O11 | meta-GGA SCAN | single point on PBEsol structure

Computed properties:
**Energy relative to the elements, uncorrected**: -3.526 eV per atom
**Space-group type**: C2/c, No. 15
**V**: 411.1 Å³/cell
**Mass density**: 5.30 Mg/m³

a b c (Å): 5.080 7.203 12.561
angles (deg): 74.27 78.33 69.35
Fractional positions:
Nd (0.193, 0.697, 0.907)
Nd (0.203, 0.197, 0.407)
Nd (0.807, 0.303, 0.093)
Nd (0.797, 0.803, 0.593)
Ti (0.829, 0.412, 0.809)
Ti (0.476, 0.342, 0.597)
Ti (0.050, 0.088, 0.691)
Ti (0.171, 0.588, 0.191)
Ti (0.585, 0.842, 0.097)
Ti (0.524, 0.658, 0.403)
Ti (0.950, 0.912, 0.309)
Ti (0.415, 0.158, 0.903)
O (0.611, 0.665, 0.776)
O (0.933, 0.586, 0.096)
O (0.281, 0.079, 0.057)
O (0.947, 0.165, 0.276)
O (0.093, 0.423, 0.668)
O (0.857, 0.158, 0.561)
O (0.719, 0.921, 0.943)
O (0.384, 0.086, 0.596)
O (0.907, 0.577, 0.332)
O (0.651, 0.250, 0.750)
O (0.143, 0.842, 0.439)
O (0.576, 0.342, 0.939)
O (0.067, 0.414, 0.904)
O (0.053, 0.835, 0.724)
O (0.816, 0.923, 0.168)
O (0.616, 0.914, 0.404)
O (0.417, 0.421, 0.443)
O (0.424, 0.658, 0.061)
O (0.583, 0.579, 0.557)
O (0.349, 0.750, 0.250)
O (0.184, 0.077, 0.832)
O (0.389, 0.335, 0.224)

Entry 8:
BeRu2 | meta-GGA SCAN | single point on PBEsol structure

Computed properties:
**Space-group type**: I4/mcm, No. 140
**V**: 68.1 Å³/cell
**Calculated formation energy**: -0.2014 eV per atom
**Mass density**: 10.30 Mg/m³

a b c (Å): 4.422 4.504 4.504
angles (deg): 76.05 60.60 60.60
Fractional positions:
Ru (0.844, 0.500, 0.812)
Ru (0.156, 0.500, 0.188)
Ru (0.344, 0.812, 0.500)
Ru (0.656, 0.188, 0.500)
Be (0.250, 0.000, 0.000)
Be (0.750, 0.000, 0.000)

Entry 9:
KAg2Mo | meta-GGA SCAN | single point on PBEsol structure

Computed properties:
**Space-group type**: Cm, No. 8
**Polymorph energy (0 for the lowest one)**: 40 meV/atom
**V**: 77.2 Å³/cell
**Calculated formation energy**: 0.7696 eV per atom
**Mass density**: 7.54 Mg/m³

a b c (Å): 2.669 5.365 5.686
angles (deg): 102.29 103.57 90.00
Site moments in Bohr magnetons follow the coordinates.
Fractional positions:
Ag (0.978, 0.060, 0.957)  0.03
Ag (0.276, 0.700, 0.551)  0.02
K (0.520, 0.571, 0.040)  0.01
Mo (0.726, 0.169, 0.452)  1.47

Entry 10:
LiV3O4 | meta-GGA SCAN | single point on PBEsol structure

Computed properties:
**Energy relative to the elements, uncorrected**: -2.419 eV per atom
**Space-group type**: P4/nmm, No. 129
**Polymorph energy (0 for the lowest one)**: 7 meV/atom
**V**: 138.0 Å³/cell
**Mass density**: 5.39 Mg/m³

a b c (Å): 4.110 4.110 8.168
angles (deg): 90.00 90.00 90.00
Site moments in Bohr magnetons follow the coordinates.
Fractional positions:
Li (0.500, 0.000, 0.753)  0.00
Li (0.000, 0.500, 0.247)  0.00
V (0.500, 0.000, 0.261)  -2.14
V (0.500, 0.500, 0.000)  2.13
V (0.000, 0.000, 0.500)  2.09
V (0.000, 0.500, 0.739)  -2.14
V (0.000, 0.000, 0.000)  2.13
V (0.500, 0.500, 0.500)  2.09
O (0.000, 0.000, 0.752)  0.02
O (0.500, 0.500, 0.248)  0.02
O (0.500, 0.500, 0.752)  0.02
O (0.000, 0.000, 0.248)  0.02
O (0.500, 0.000, 0.001)  0.04
O (0.000, 0.500, 0.487)  0.04
O (0.000, 0.500, 0.999)  0.04
O (0.500, 0.000, 0.513)  0.04

Entry 11:
CaMgPb2 | meta-GGA SCAN | single point on PBEsol structure

Computed properties:
**Space-group type**: F-43m, No. 216
**V**: 114.8 Å³/cell
**Calculated formation energy**: -0.2440 eV per atom
**Mass density**: 6.92 Mg/m³

a b c (Å): 5.456 5.456 5.456
angles (deg): 60.00 60.00 60.00
Fractional positions:
Ca (0.500, 0.500, 0.500)
Mg (0.250, 0.250, 0.250)
Pb (0.000, 0.000, 0.000)
Pb (0.750, 0.750, 0.750)

Entry 12:
CrSb2RuPt | meta-GGA SCAN | single point on PBEsol structure

Computed properties:
**Energy relative to the elements, uncorrected**: 1.008 eV per atom
**Space-group type**: P4/mmm, No. 123
**V**: 99.5 Å³/cell
**Mass density**: 9.88 Mg/m³

a b c (Å): 4.309 4.805 4.805
angles (deg): 90.00 90.00 90.00
Fractional positions:
Sb (0.000, 0.000, 0.500)
Sb (0.000, 0.500, 0.000)
Cr (0.000, 0.000, 0.000)
Pt (0.500, 0.500, 0.500)
Ru (0.500, 0.000, 0.000)